# 1
Material: Na6Hf2O7
Method: DFT, GGA-PBE
State: relaxed

extended XYZ file:
```
15
Lattice="5.535 0.000 0.000 1.240 5.495 0.000 1.803 -0.120 6.202" Properties=species:S:1:pos:R:3 pbc="T T T"
Na 2.136 1.877 1.965
Na 3.191 2.011 5.086
Na 3.543 4.922 3.484
Na 5.035 0.452 2.718
Na 5.388 3.364 1.116
Na 6.442 3.497 4.237
Hf 2.613 4.698 0.427
Hf 5.965 0.676 5.775
O 2.687 4.267 5.507
O 1.856 4.046 2.160
O 4.374 5.443 1.325
O 3.387 2.747 0.000
O 4.204 -0.068 4.877
O 6.723 1.328 4.041
O 5.891 1.107 0.695
```

Properties
E: -6.49 eV per atom
Calculated volume: 188.6 Å³ per cell
SG: P-1

---

# 2
Material: La2NdSn7
Method: DFT, GGA-PBE
State: relaxed

extended XYZ file:
```
10
Lattice="2.301 -13.068 0.000 2.301 13.068 0.000 0.000 0.000 4.703" Properties=species:S:1:pos:R:3 pbc="T T T"
La 2.301 8.231 0.000
La 2.301 -8.231 0.000
Nd 0.000 0.000 0.000
Sn 2.301 10.585 2.351
Sn 2.301 5.514 2.351
Sn 2.301 2.463 0.000
Sn 2.301 0.000 2.351
Sn 2.301 -2.463 0.000
Sn 2.301 -5.514 2.351
Sn 2.301 -10.585 2.351
```

Properties
E: -4.89 eV per atom
Calculated volume: 282.9 Å³ per cell
SG: Cmmm

---

# 3
Material: BeCdCuSb
Method: DFT, GGA-PBE
State: relaxed

extended XYZ file:
```
4
Lattice="0.000 3.332 3.332 3.332 0.000 3.332 3.332 3.332 0.000" Properties=species:S:1:pos:R:3 pbc="T T T"
Be 0.000 0.000 0.000
Cd 1.666 1.666 1.666
Cu 4.998 4.998 4.998
Sb 3.332 3.332 3.332
```

Properties
Calculated volume: 74.0 Å³ per cell
SG: F-43m
Distance to the lowest polymorph of the same formula: 51 kJ/mol of formula units

---

# 4
Material: Er3Mg3Al2Ir
Method: DFT, GGA-PBE
State: relaxed

extended XYZ file:
```
9
Lattice="7.294 0.000 0.000 -3.647 6.317 0.000 0.000 0.000 4.392" Properties=species:S:1:pos:R:3 pbc="T T T"
Er -2.190 3.794 0.000
Er 1.457 2.523 0.000
Er 4.381 0.000 0.000
Mg -0.856 1.483 2.196
Mg 1.713 0.000 2.196
Mg 2.791 4.833 2.196
Al 0.000 4.211 2.196
Al 3.647 2.106 2.196
Ir 0.000 0.000 0.000
```

Properties
E: -4.25 eV per atom
Calculated volume: 202.3 Å³ per cell
SG: P-62m

---

# 5
Material: MgCuBi
Method: DFT, GGA-PBE
State: relaxed

extended XYZ file:
```
6
Lattice="4.792 0.000 0.000 -2.396 4.150 0.000 0.000 0.000 6.332" Properties=species:S:1:pos:R:3 pbc="T T T"
Mg 0.000 0.000 0.000
Mg 0.000 0.000 3.166
Cu 0.000 2.767 1.583
Cu 2.396 1.383 4.749
Bi 0.000 2.767 4.749
Bi 2.396 1.383 1.583
```

Properties
E: -3.04 eV per atom
Calculated volume: 125.9 Å³ per cell
SG: P6_3/mmc

---

# 6
Material: AlSiW4N2
Method: DFT, GGA-PBE
State: relaxed

extended XYZ file:
```
8
Lattice="2.845 0.000 0.000 -1.422 2.464 0.000 0.000 0.000 14.540" Properties=species:S:1:pos:R:3 pbc="T T T"
Al 0.000 0.000 0.000
Si 0.000 1.642 7.270
W 0.000 0.000 5.182
W 0.000 0.000 9.359
W 0.000 1.642 2.265
W 0.000 1.642 12.276
N 1.422 0.821 3.705
N 1.422 0.821 10.835
```

Properties
E: -9.64 eV per atom
Calculated volume: 101.9 Å³ per cell
SG: P-6m2

---

# 7
Material: SmCo9Si2
Method: DFT, GGA-PBE
State: relaxed

extended XYZ file:
```
24
Lattice="-4.831 4.831 3.138 4.831 -4.831 3.138 4.831 4.831 -3.138" Properties=species:S:1:pos:R:3 pbc="T T T"
Sm 4.831 2.416 0.785
Sm 0.000 2.416 2.354
Co 4.831 -2.416 2.354
Co 3.634 -0.427 1.158
Co 6.029 -0.427 1.158
Co 1.989 1.218 0.411
Co 7.674 1.218 0.411
Co 3.634 4.404 -1.158
Co 1.198 -0.427 1.980
Co 1.989 3.613 0.411
Co 2.843 -1.218 3.550
Co 1.989 6.049 -0.411
Co 2.843 1.218 2.727
Co 3.634 5.258 1.158
Co 1.198 0.427 4.297
Co -2.843 3.613 2.727
Co 2.843 3.613 2.727
Co -1.198 5.258 1.980
Co 1.198 5.258 1.980
Co 0.000 7.247 0.785
Si 0.000 0.000 0.000
Si 2.416 2.416 -1.569
Si 2.416 -2.416 1.569
Si 0.000 4.831 0.000
```

Properties
E: -6.93 eV per atom
Calculated volume: 293.0 Å³ per cell
SG: I4_1/amd

---

# 8
Material: NdHoSi
Method: DFT, GGA-PBE
State: relaxed

extended XYZ file:
```
3
Lattice="0.000 3.482 3.482 3.482 0.000 3.482 3.482 3.482 0.000" Properties=species:S:1:pos:R:3 pbc="T T T"
Nd 0.000 0.000 0.000
Ho 3.482 3.482 3.482
Si 5.223 5.223 5.223
```

Properties
Calculated volume: 84.4 Å³ per cell
SG: F-43m
Distance to the lowest polymorph of the same formula: 0 kJ/mol of formula units